No. 1
An optimized crystal structure of NbVGe. Source: Alexandria via LeMat-Bulk, functional PBE.

The total moment is 0.0 Bohr magnetons per cell. The value obtained for the total energy is -8.1848 eV/atom.

Cell: 5.339 8.217 4.860 Å, 90.00 117.71 90.00°
Atoms (fractional coordinates):
Nb: 0.750 0.711 0.750
Nb: 0.750 0.211 0.250
Nb: 0.250 0.789 0.750
Nb: 0.250 0.289 0.250
V: 0.250 0.462 0.750
V: 0.750 0.038 0.750
V: 0.750 0.538 0.250
V: 0.250 0.962 0.250
Ge: 0.750 0.377 0.750
Ge: 0.750 0.877 0.250
Ge: 0.250 0.123 0.750
Ge: 0.250 0.623 0.250


No. 2
An optimized crystal structure of Nb3VGe4. Source: Alexandria via LeMat-Bulk, functional PBE.

The total moment is 0.0 Bohr magnetons per cell. The value obtained for the total energy is -7.4685 eV/atom.

Cell: 4.913 5.492 9.811 Å, 90.00 90.00 90.00°
Atoms (fractional coordinates):
Nb: 0.564 0.136 0.251
Nb: 0.064 0.135 0.500
Nb: 0.564 0.136 0.749
Nb: 0.064 0.864 0.249
Nb: 0.564 0.865 0.000
Nb: 0.064 0.864 0.751
Ge: 0.564 0.361 0.000
Ge: 0.064 0.361 0.244
Ge: 0.064 0.637 0.000
Ge: 0.564 0.639 0.256
Ge: 0.564 0.639 0.744
Ge: 0.564 0.363 0.500
Ge: 0.064 0.639 0.500
Ge: 0.064 0.361 0.756
V: 0.064 0.134 0.000
V: 0.564 0.866 0.500


No. 3
An optimized crystal structure of NbVGe. Source: Alexandria via LeMat-Bulk, functional PBE.

The total moment is 0.0 Bohr magnetons per cell. The value obtained for the total energy is -8.2443 eV/atom.

Cell: 4.896 5.298 7.106 Å, 90.00 90.00 90.00°
Atoms (fractional coordinates):
Ge: 0.000 0.500 0.000
Ge: 0.000 0.000 0.000
Ge: 0.500 0.000 0.500
Ge: 0.500 0.500 0.500
Nb: 0.500 0.750 0.126
Nb: 0.000 0.750 0.374
Nb: 0.500 0.250 0.874
Nb: 0.000 0.250 0.626
V: 0.750 0.750 0.750
V: 0.250 0.250 0.250
V: 0.250 0.750 0.750
V: 0.750 0.250 0.250